La4NdEr4: optimized geometry, PBE.

calculated formation energy = 28 kJ/mol of formula units

Geometry as CIF:
```
data_La4NdEr4
_chemical_formula_sum 'La8 Nd2 Er8'
_cell_length_a 10.888
_cell_length_b 10.888
_cell_length_c 5.156
_cell_angle_alpha 90.00
_cell_angle_beta 90.00
_cell_angle_gamma 90.00
_space_group_name_H-M_alt 'I 4/m m m'
_space_group_IT_number 139
_space_group_name_Hall '-I 4 2'
loop_
_atom_site_label
_atom_site_fract_x
_atom_site_fract_y
_atom_site_fract_z
La1 0.168 0.168 0.000
Nd1 0.000 0.000 0.500
Er1 0.000 0.338 0.500
```

---

Ni2HgSb: optimized geometry, PBE.

energy = -3.68 eV/atom

Geometry as CIF:
```
data_Ni2HgSb
_chemical_formula_sum 'Ni8 Hg4 Sb4'
_cell_length_a 7.038
_cell_length_b 7.038
_cell_length_c 5.828
_cell_angle_alpha 90.00
_cell_angle_beta 90.00
_cell_angle_gamma 90.00
_space_group_name_H-M_alt 'I -4 2 d'
_space_group_IT_number 122
_space_group_name_Hall 'I -4 2bw'
loop_
_atom_site_label
_atom_site_fract_x
_atom_site_fract_y
_atom_site_fract_z
Ni1 0.233 0.250 0.125
Hg1 0.000 0.000 0.500
Sb1 0.000 0.000 0.000
```